{"formula": "VCd3Pt", "functional": "GGA-PBE", "state": "optimized geometry", "e_tot_ev_per_cell": -11.81, "n_ef_per_ev_cell": 7.16, "cell": [[-1.262, -4.249, 2.591], [4.021, -2.445, -2.051], [2.932, 1.525, 3.929]], "species": ["Cd", "Cd", "Cd", "Pt", "V"], "fractional_positions": [[0.000, 0.500, 0.000], [0.000, 0.000, 0.500], [0.500, 0.000, 0.000], [0.500, 0.500, 0.500], [0.000, 0.000, 0.000]]}